Computed, not measured: a relaxed structure of CoSi2Br at the PBEsol level of DFT.

Results
Calculated total energy in eV/atom: -5.069
Energy relative to the lowest polymorph listed for this composition in kcal/mol of atoms: 0.00
Energy relative to the elements, uncorrected in kJ/mol of atoms: 20

Cell and atoms, written as CIF:
```
data_CoSi2Br
_chemical_formula_sum 'Co1 Si2 Br1'
_symmetry_space_group_name_H-M 'P 1'
_symmetry_Int_Tables_number 1
_symmetry_space_group_name_Hall 'P 1'
_cell_length_a 3.051
_cell_length_b 3.051
_cell_length_c 7.041
_cell_angle_alpha 90.00
_cell_angle_beta 90.00
_cell_angle_gamma 90.00
loop_
_atom_site_label
_atom_site_type_symbol
_atom_site_fract_x
_atom_site_fract_y
_atom_site_fract_z
Co1 Co 0.000 0.000 0.000
Si1 Si 0.000 0.000 0.340
Si2 Si 0.500 0.500 0.133
Br1 Br 0.500 0.500 0.748
```